(1)
VASP calculation (PBE+U) on LiNi4O4F after structural relaxation.

Calculated values
ρ = 5.772 g/cm³
SG = I4/mmm (139)
E_tot = -47.88 eV/cell

Cell and atoms, written as extended XYZ:
```
10
Lattice="-1.484 1.484 10.607 1.484 -1.484 10.607 1.484 1.484 -10.607" Properties=species:S:1:pos:R:3 pbc="T T T"
Li 0.000 0.000 0.000
Ni 0.000 0.000 4.231
Ni 0.000 0.000 8.456
Ni 0.000 0.000 12.759
Ni 0.000 0.000 16.983
O 0.000 0.000 2.106
O 0.000 0.000 6.364
O 0.000 0.000 14.851
O 0.000 0.000 19.109
F 0.000 0.000 10.607
```

(2)
VASP calculation (PBE+U) on Li6NiOF6 after structural relaxation.

Calculated values
ρ = 3.112 g/cm³
SG = Immm (71)
E_tot = -66.57 eV/cell

Cell and atoms, written as extended XYZ:
```
14
Lattice="-1.487 1.996 10.353 1.487 -1.996 10.353 1.487 1.996 -10.353" Properties=species:S:1:pos:R:3 pbc="T T T"
Li 0.000 0.000 1.384
Li 0.000 0.000 4.413
Li 0.000 0.000 7.271
Li 0.000 0.000 13.435
Li 0.000 0.000 16.294
Li 0.000 0.000 19.323
Ni 0.000 0.000 10.353
O 1.487 0.000 0.000
F 1.487 0.000 3.026
F 1.487 0.000 5.903
F 1.487 0.000 8.812
F 0.000 1.996 1.541
F 0.000 1.996 4.450
F 0.000 1.996 7.327
```

(3)
VASP calculation (PBE+U) on Li7NiO4F2 after structural relaxation.

Calculated values
ρ = 2.587 g/cm³
SG = P1 (1)
E_tot = -66.15 eV/cell

Cell and atoms, written as extended XYZ:
```
14
Lattice="5.233 0.000 0.000 2.065 5.285 0.000 2.595 1.691 4.858" Properties=species:S:1:pos:R:3 pbc="T T T"
Li 0.000 0.000 0.000
Li 3.951 4.585 4.377
Li 2.516 0.907 2.378
Li 3.932 3.612 1.486
Li 6.002 3.600 4.777
Li 6.582 4.353 2.613
Li 5.867 2.145 1.648
Ni 7.231 6.657 4.412
O 1.647 1.129 0.350
O 5.812 5.424 4.146
O 5.725 4.072 0.864
O 6.506 2.277 3.443
F 3.190 4.713 2.694
F 4.070 1.782 1.644
```